[1]
Material: KPb2W
Method: DFT, GGA-PBE
State: optimized geometry

Properties
Formation energy   0.55 eV per atom
Fermi-level density of states   2.7 states/eV/cell
Calculated total energy   -0.35426 Ry/atom
Offset from the most stable computed form   0 meV/atom

Geometry as POSCAR:
```
KPb2W
1.0
-2.3614 -1.1736 2.3917
2.2800 -1.5864 1.4726
4.0096 5.8857 6.8469
K Pb W
1 2 1
direct
0.5000 0.7500 0.7500 K
0.0000 0.9516 0.0483 Pb
0.0000 0.5484 0.4517 Pb
0.5000 0.2500 0.2500 W
```


[2]
Material: KPbW2
Method: DFT, GGA-PBE
State: optimized geometry

Properties
Formation energy   1.66 eV per atom
Fermi-level density of states   5.2 states/eV/cell
Calculated total energy   -0.44266 Ry/atom

Geometry as POSCAR:
```
KPbW2
1.0
-0.6988 1.0414 -2.7981
2.4685 -3.8358 -2.0441
-4.7794 -3.0975 0.0408
K Pb W
1 1 2
direct
0.5000 0.0000 0.5000 K
0.0000 0.5000 0.5000 Pb
0.0000 0.0000 0.0000 W
0.5000 0.5000 0.0000 W
```


[3]
Material: K2PbW
Method: DFT, GGA-PBE
State: optimized geometry

Properties
Formation energy   1.19 eV per atom
Fermi-level density of states   1.8 states/eV/cell
Calculated total energy   -0.25890 Ry/atom

Geometry as POSCAR:
```
K2PbW
1.0
5.5753 0.0160 0.0000
-0.0124 5.5753 0.0000
-2.7814 -2.7957 3.9410
K Pb W
2 1 1
direct
0.0000 0.0000 0.0000 K
0.2500 0.7500 0.5000 K
0.5000 0.5000 0.0000 Pb
0.7500 0.2500 0.5000 W
```


[4]
Material: K2PbW
Method: DFT, GGA-PBE
State: optimized geometry

Properties
Formation energy   1.11 eV per atom
Fermi-level density of states   3.8 states/eV/cell
Calculated total energy   -0.26490 Ry/atom

Geometry as POSCAR:
```
K2PbW
1.0
-1.6054 -2.2940 -1.2025
2.7003 -1.1058 0.8783
-4.6935 -2.5779 11.1839
K Pb W
2 1 1
direct
0.0000 0.0000 0.9894 K
0.0000 0.0000 0.5106 K
0.5000 0.5000 0.2500 Pb
0.5000 0.5000 0.7500 W
```


[5]
Material: K2PbW
Method: DFT, GGA-PBE
State: optimized geometry

Properties
Formation energy   0.93 eV per atom
Fermi-level density of states   3.0 states/eV/cell
Calculated total energy   -0.27831 Ry/atom

Geometry as POSCAR:
```
K2PbW
1.0
-4.4417 0.8215 -0.4911
-0.6627 -3.1585 0.7105
-1.9044 -3.5201 11.3350
K Pb W
2 1 1
direct
0.0000 0.3035 0.9292 K
0.5000 0.9501 0.3199 K
0.0000 0.3911 0.6159 Pb
0.5000 0.8554 0.6350 W
```


[6]
Material: KPbW2
Method: DFT, GGA-PBE
State: optimized geometry

Properties
Formation energy   1.58 eV per atom
Fermi-level density of states   1.9 states/eV/cell
Calculated total energy   -0.44810 Ry/atom

Geometry as POSCAR:
```
KPbW2
1.0
2.8655 0.0000 0.0000
0.0000 2.8655 0.0000
0.0000 0.0000 10.9397
K Pb W
1 1 2
direct
0.5000 0.5000 0.2500 K
0.5000 0.5000 0.7500 Pb
0.0000 0.0000 0.9727 W
0.0000 0.0000 0.5273 W
```